The following is a DFT calculation (PBE) of a relaxed structure of PrTeBr6. Values from VASP.

Quantum ESPRESSO input file:
```
&SYSTEM
  ibrav = 0, nat = 8, ntyp = 3
/
ATOMIC_SPECIES
Br 79.90 Br.upf
Pr 140.91 Pr.upf
Te 127.60 Te.upf
CELL_PARAMETERS angstrom
-1.661 -6.683 -2.206
5.027 -5.571 -0.600
-0.427 -5.370 5.387
ATOMIC_POSITIONS crystal
Br 0.417 0.769 0.750
Br 0.242 0.929 0.235
Br 0.758 0.071 0.765
Br 0.583 0.231 0.250
Br 0.903 0.562 0.266
Br 0.097 0.438 0.734
Pr 0.500 0.500 0.500
Te 0.000 0.000 0.000
```

Computed properties:
The formation energy (no corrections) comes out at -955 meV per atom. For the uncorrected energy, the calculation gives -3.199 eV/atom.